[1]
Material: NdErInAg
Method: DFT, PBE
State: relaxed

Calculated values
* symmetry: No. 99
* energy of formation: -38 kJ per mole of atoms
* crystal system: tetragonal
* VASP energy: -4.125 eV per atom

a = 3.6568 Å, b = 3.6568 Å, c = 7.8529 Å
α = 90.00°, β = 90.00°, γ = 90.00°
Closest atoms and distances in Å follow each position.
Fractional positions:
Nd: 0.0000 0.0000 0.0000  4 Ag 3.33, 4 In 3.36, 4 Nd 3.66, 1 Er 3.72
Er: 0.0000 0.0000 0.5259  4 Ag 3.05, 4 In 3.26
In: 0.5000 0.5000 0.2727  4 Er 3.26, 4 Nd 3.36, 1 Ag 3.61
Ag: 0.5000 0.5000 0.7328  4 Er 3.05, 4 Nd 3.33

***

[2]
Material: ScPtW2
Method: DFT, PBE
State: relaxed

Calculated values
* symmetry: No. 8
* energy of formation: -4 kJ per mole of atoms
* crystal system: monoclinic
* VASP energy: -9.615 eV per atom

a = 4.9355 Å, b = 4.9355 Å, c = 5.2173 Å
α = 96.83°, β = 96.83°, γ = 32.52°
Closest atoms and distances in Å follow each position.
Fractional positions:
Sc: 0.0000 0.0000 0.0000  3 Pt 2.72-2.79, 2 Sc 2.76, 5 W 2.85-3.00
Pt: 0.7466 0.7466 0.1945  3 Sc 2.72-2.79, 2 Pt 2.76, 6 W 2.86-2.98
W: 0.2292 0.2292 0.6952  5 W 2.62-2.88, 1 Sc 2.85, 2 Pt 2.94
W: 0.4717 0.4717 0.5007  5 W 2.62-2.88, 2 Pt 2.86, 2 Sc 2.93

***

[3]
Material: Sm5Cd2Si2
Method: DFT, PBE
State: relaxed

Calculated values
* symmetry: No. 64
* formation energy from raw total energies: -4.3 eV per formula unit
* crystal system: orthorhombic
* VASP energy: -4.508 eV per atom

a = 9.1108 Å, b = 9.1108 Å, c = 7.7020 Å
α = 90.00°, β = 90.00°, γ = 49.85°
Closest atoms and distances in Å follow each position.
Fractional positions:
Sm: 0.0000 0.0000 0.0000  4 Si 3.09-3.10
Sm: 0.0620 0.6890 0.6814  3 Si 3.01-3.13, 3 Cd 3.22-3.27
Sm: 0.1890 0.5620 0.1814  3 Si 3.01-3.13, 3 Cd 3.22-3.27
Sm: 0.3110 0.9380 0.6814  3 Si 3.01-3.13, 3 Cd 3.22-3.27
Sm: 0.4380 0.8110 0.1814  3 Si 3.01-3.13, 3 Cd 3.22-3.27
Sm: 0.5000 0.5000 0.5000  4 Si 3.09-3.10
Sm: 0.5620 0.1890 0.8186  3 Si 3.01-3.13, 3 Cd 3.22-3.27
Sm: 0.6890 0.0620 0.3186  3 Si 3.01-3.13, 3 Cd 3.22-3.27
Sm: 0.8110 0.4380 0.8186  3 Si 3.01-3.13, 3 Cd 3.22-3.27
Sm: 0.9380 0.3110 0.3186  3 Si 3.01-3.13, 3 Cd 3.22-3.27
Cd: 0.2225 0.2225 0.0000  6 Sm 3.22-3.27
Cd: 0.2775 0.2775 0.5000  6 Sm 3.22-3.27
Cd: 0.7225 0.7225 0.5000  6 Sm 3.22-3.27
Cd: 0.7775 0.7775 0.0000  6 Sm 3.22-3.27
Si: 0.1135 0.8865 0.3846  1 Si 2.49
Si: 0.3865 0.6135 0.8846  1 Si 2.49
Si: 0.6135 0.3865 0.1154  1 Si 2.49
Si: 0.8865 0.1135 0.6154  1 Si 2.49

***

[4]
Material: Ti7Ga2H2
Method: DFT, PBE
State: relaxed

Calculated values
* symmetry: No. 2
* crystal system: triclinic
* VASP energy: -6.478 eV per atom

a = 4.1665 Å, b = 6.2105 Å, c = 6.6262 Å
α = 105.71°, β = 90.40°, γ = 109.27°
Closest atoms and distances in Å follow each position.
Fractional positions:
Ti: 0.0000 0.0000 0.0000  2 H 1.86
Ti: 0.1330 0.2478 0.6570  1 H 1.85
Ti: 0.3452 0.6732 0.0118  1 H 1.85
Ti: 0.4203 0.8562 0.6554  1 H 1.85
Ti: 0.5797 0.1438 0.3446  1 H 1.85
Ti: 0.6548 0.3268 0.9882  1 H 1.85
Ti: 0.8670 0.7522 0.3430  1 H 1.85
Ga: 0.2151 0.4323 0.3022  10 Ti 2.70-2.90
Ga: 0.7849 0.5677 0.6978  10 Ti 2.70-2.90
H: 0.1975 0.8981 0.1914  4 Ti 1.85-1.86
H: 0.8025 0.1019 0.8086  4 Ti 1.85-1.86

***

[5]
Material: MoRu2
Method: DFT, PBE
State: relaxed

Calculated values
* symmetry: No. 140
* energy of formation: 32 kJ per mole of atoms
* crystal system: tetragonal
* VASP energy: -9.466 eV per atom

a = 4.9987 Å, b = 4.9987 Å, c = 4.9987 Å
α = 103.66°, β = 103.66°, γ = 121.85°
Closest atoms and distances in Å follow each position.
Fractional positions:
Mo: 0.2500 0.2500 0.0000  2 Mo 2.43, 8 Ru 2.67
Mo: 0.7500 0.7500 0.0000  2 Mo 2.43, 8 Ru 2.67
Ru: 0.1423 0.6423 0.7846  1 Ru 2.49, 4 Mo 2.67
Ru: 0.3577 0.1423 0.5000  1 Ru 2.49, 4 Mo 2.67
Ru: 0.6423 0.8577 0.5000  1 Ru 2.49, 4 Mo 2.67
Ru: 0.8577 0.3577 0.2154  1 Ru 2.49, 4 Mo 2.67

***

[6]
Material: CeNd2TlN
Method: DFT, PBE
State: relaxed

Calculated values
* symmetry: No. 123
* formation energy from raw total energies: -3.9 eV per formula unit
* crystal system: tetragonal
* VASP energy: -6.015 eV per atom

a = 5.0799 Å, b = 5.0799 Å, c = 4.8518 Å
α = 90.00°, β = 90.00°, γ = 90.00°
Closest atoms and distances in Å follow each position.
Fractional positions:
Ce: 0.0000 0.0000 0.0000  2 N 2.43
Nd: 0.0000 0.5000 0.5000  2 N 2.54
Nd: 0.5000 0.0000 0.5000  2 N 2.54
Tl: 0.5000 0.5000 0.0000  8 Nd 3.51, 4 Ce 3.59
N: 0.0000 0.0000 0.5000  2 Ce 2.43, 4 Nd 2.54

***

[7]
Material: Tm2MnAl2Ru5
Method: DFT, PBE
State: relaxed

Calculated values
* symmetry: No. 127
* energy of formation: -30 kJ per mole of atoms
* crystal system: tetragonal
* VASP energy: -7.511 eV per atom

a = 9.9438 Å, b = 9.9438 Å, c = 3.2713 Å
α = 90.00°, β = 90.00°, γ = 90.00°
Closest atoms and distances in Å follow each position.
Fractional positions:
Tm: 0.1708 0.3292 0.0000  3 Al 2.81-3.01, 6 Ru 2.91-3.11
Tm: 0.3292 0.8292 0.0000  3 Al 2.81-3.01, 6 Ru 2.91-3.11
Tm: 0.6708 0.1708 0.0000  3 Al 2.81-3.01, 6 Ru 2.91-3.11
Tm: 0.8292 0.6708 0.0000  3 Al 2.81-3.01, 6 Ru 2.91-3.11
Mn: 0.0000 0.0000 0.0000  8 Ru 2.60
Mn: 0.5000 0.5000 0.0000  8 Ru 2.60
Al: 0.1292 0.6292 0.0000  6 Ru 2.44-2.50
Al: 0.3708 0.1292 0.0000  6 Ru 2.44-2.50
Al: 0.6292 0.8708 0.0000  6 Ru 2.44-2.50
Al: 0.8708 0.3708 0.0000  6 Ru 2.44-2.50
Ru: 0.0000 0.5000 0.5000  4 Al 2.44
Ru: 0.0635 0.8070 0.5000  2 Al 2.50, 2 Mn 2.60
Ru: 0.1930 0.0635 0.5000  2 Al 2.50, 2 Mn 2.60
Ru: 0.3070 0.5635 0.5000  2 Al 2.50, 2 Mn 2.60
Ru: 0.4365 0.3070 0.5000  2 Al 2.50, 2 Mn 2.60
Ru: 0.5000 0.0000 0.5000  4 Al 2.44
Ru: 0.5635 0.6930 0.5000  2 Al 2.50, 2 Mn 2.60
Ru: 0.6930 0.4365 0.5000  2 Al 2.50, 2 Mn 2.60
Ru: 0.8070 0.9365 0.5000  2 Al 2.50, 2 Mn 2.60
Ru: 0.9365 0.1930 0.5000  2 Al 2.50, 2 Mn 2.60

***

[8]
Material: La3Pt2Au3
Method: DFT, PBE
State: relaxed

Calculated values
* symmetry: No. 63
* energy of formation: -92 kJ per mole of atoms
* crystal system: orthorhombic
* VASP energy: -5.539 eV per atom

a = 5.7515 Å, b = 5.7515 Å, c = 17.5434 Å
α = 90.00°, β = 90.00°, γ = 137.62°
Closest atoms and distances in Å follow each position.
Fractional positions:
La: 0.0724 0.9276 0.6023  3 Pt 3.06-3.17, 6 Au 3.19-3.35
La: 0.0724 0.9276 0.8977  3 Pt 3.06-3.17, 6 Au 3.19-3.35
La: 0.3329 0.6671 0.7500  3 Au 2.97-3.17, 4 Pt 3.09
La: 0.6671 0.3329 0.2500  3 Au 2.97-3.17, 4 Pt 3.09
La: 0.9276 0.0724 0.1023  3 Pt 3.06-3.17, 6 Au 3.19-3.35
La: 0.9276 0.0724 0.3977  3 Pt 3.06-3.17, 6 Au 3.19-3.35
Pt: 0.2212 0.7788 0.1240  4 Au 2.82-3.15, 4 La 3.06-3.09
Pt: 0.2212 0.7788 0.3760  4 Au 2.82-3.15, 4 La 3.06-3.09
Pt: 0.7788 0.2212 0.6240  4 Au 2.82-3.15, 4 La 3.06-3.09
Pt: 0.7788 0.2212 0.8760  4 Au 2.82-3.15, 4 La 3.06-3.09
Au: 0.3699 0.6301 0.5307  3 Pt 2.82-3.15, 1 Au 2.99
Au: 0.3699 0.6301 0.9693  3 Pt 2.82-3.15, 1 Au 2.99
Au: 0.3898 0.6102 0.2500  2 Pt 2.86, 3 La 2.97-3.17
Au: 0.6102 0.3898 0.7500  2 Pt 2.86, 3 La 2.97-3.17
Au: 0.6301 0.3699 0.0307  3 Pt 2.82-3.15, 1 Au 2.99
Au: 0.6301 0.3699 0.4693  3 Pt 2.82-3.15, 1 Au 2.99

***

[9]
Material: Sr2Ga5Ag5
Method: DFT, PBE
State: relaxed

Calculated values
* symmetry: No. 47
* energy of formation: -25 kJ per mole of atoms
* crystal system: orthorhombic
* VASP energy: -2.989 eV per atom

a = 4.4985 Å, b = 5.6347 Å, c = 9.9568 Å
α = 90.00°, β = 90.00°, γ = 90.00°
Closest atoms and distances in Å follow each position.
Fractional positions:
Sr: 0.0000 0.0000 0.0000  10 Ag 3.32-3.61, 8 Ga 3.62
Sr: 0.0000 0.5000 0.5000  6 Ag 3.21-3.27
Ga: 0.5000 0.0000 0.5000  4 Ag 2.79, 4 Ga 2.87
Ga: 0.5000 0.2469 0.2478  5 Ag 2.75-2.85, 3 Ga 2.78-2.87
Ga: 0.5000 0.2469 0.7522  5 Ag 2.75-2.85, 3 Ga 2.78-2.87
Ga: 0.5000 0.7531 0.2478  5 Ag 2.75-2.85, 3 Ga 2.78-2.87
Ga: 0.5000 0.7531 0.7522  5 Ag 2.75-2.85, 3 Ga 2.78-2.87
Ag: 0.0000 0.0000 0.3335  6 Ga 2.78-2.79
Ag: 0.0000 0.0000 0.6665  6 Ga 2.78-2.79
Ag: 0.0000 0.5000 0.1778  4 Ga 2.75, 2 Ag 2.86
Ag: 0.0000 0.5000 0.8222  4 Ga 2.75, 2 Ag 2.86
Ag: 0.5000 0.5000 0.0000  4 Ga 2.85, 4 Ag 2.86

***

[10]
Material: KCa3Sc
Method: DFT, PBE
State: relaxed

Calculated values
* symmetry: No. 221
* energy of formation: 99 kJ per mole of atoms
* crystal system: cubic
* VASP energy: -1.656 eV per atom

a = 5.9545 Å, b = 5.9545 Å, c = 5.9545 Å
α = 90.00°, β = 90.00°, γ = 90.00°
Closest atoms and distances in Å follow each position.
Fractional positions:
K: 0.0000 0.0000 0.0000  6 Ca 2.98
Ca: 0.0000 0.0000 0.5000  2 K 2.98
Ca: 0.0000 0.5000 0.0000  2 K 2.98
Ca: 0.5000 0.0000 0.0000  2 K 2.98
Sc: 0.5000 0.5000 0.5000  12 Ca 4.21

***

[11]
Material: Dy4Ge8Pt
Method: DFT, PBE
State: relaxed

Calculated values
* symmetry: No. 25
* energy of formation: -64 kJ per mole of atoms
* crystal system: orthorhombic
* VASP energy: -5.387 eV per atom

a = 4.0047 Å, b = 4.1022 Å, c = 16.5734 Å
α = 90.00°, β = 90.00°, γ = 90.00°
Closest atoms and distances in Å follow each position.
Fractional positions:
Dy: 0.0000 0.0000 0.0000  10 Ge 2.96-3.11
Dy: 0.0000 0.5000 0.4832  10 Ge 2.99-3.31
Dy: 0.5000 0.0000 0.7889  8 Ge 3.09-3.46, 4 Pt 3.14
Dy: 0.5000 0.5000 0.2801  10 Ge 2.97-3.19
Ge: 0.0000 0.0000 0.3267  2 Ge 2.61
Ge: 0.0000 0.0000 0.6188  2 Pt 2.56, 4 Ge 2.87
Ge: 0.0000 0.5000 0.1376  4 Ge 2.87, 4 Dy 3.07-3.10
Ge: 0.0000 0.5000 0.8589  1 Pt 2.45, 2 Ge 2.57
Ge: 0.5000 0.0000 0.1429  4 Ge 2.87, 4 Dy 3.06-3.10
Ge: 0.5000 0.0000 0.4274  2 Ge 2.61
Ge: 0.5000 0.5000 0.6172  2 Pt 2.54
Ge: 0.5000 0.5000 0.9560  2 Ge 2.57
Pt: 0.0000 0.5000 0.7113  5 Ge 2.45-2.56

***

[12]
Material: Hf3MgIr
Method: DFT, PBE
State: relaxed

Calculated values
* symmetry: No. 221
* energy of formation: 19 kJ per mole of atoms
* crystal system: cubic
* VASP energy: -7.867 eV per atom

a = 5.0496 Å, b = 5.0496 Å, c = 5.0496 Å
α = 90.00°, β = 90.00°, γ = 90.00°
Closest atoms and distances in Å follow each position.
Fractional positions:
Hf: 0.0000 0.0000 0.5000  2 Ir 2.52
Hf: 0.0000 0.5000 0.0000  2 Ir 2.52
Hf: 0.5000 0.0000 0.0000  2 Ir 2.52
Mg: 0.5000 0.5000 0.5000  12 Hf 3.57
Ir: 0.0000 0.0000 0.0000  6 Hf 2.52